1.
Here is crystalline Y4MgZn2Ag at its relaxed geometry from the Alexandria database. Energies are from PBE.

Values from the calculation:
Total DFT energy (no corrections)   -35.10 eV for the cell shown

```
8
Lattice="2.577 1.488 8.436 -2.577 1.488 8.436 0.000 -2.976 8.436" Properties=species:S:1:pos:R:3 pbc="T T T"
Y 0.000 0.000 3.077
Y 0.000 0.000 9.430
Y 0.000 0.000 15.878
Y 0.000 0.000 22.231
Mg 0.000 0.000 12.654
Zn 0.000 0.000 6.149
Zn 0.000 0.000 19.160
Ag 0.000 0.000 0.000
```

2.
Here is crystalline Pm2HoNpAs4 at its relaxed geometry from the Alexandria database. Energies are from PBE.

Values from the calculation:
Total DFT energy (no corrections)   -56.07 eV for the cell shown

```
8
Lattice="7.212 0.000 0.000 0.000 4.163 0.000 -2.387 0.000 6.816" Properties=species:S:1:pos:R:3 pbc="T T T"
Pm 0.000 0.000 0.000
Pm 3.606 2.081 0.000
Ho -1.193 2.081 3.408
Np 2.412 0.000 3.408
As 0.028 0.000 5.041
As 1.213 2.081 1.774
As 3.612 2.081 5.042
As 4.796 0.000 1.775
```

3.
Here is crystalline ErThHg6 at its relaxed geometry from the Alexandria database. Energies are from PBE.

Values from the calculation:
Energy above the most stable polymorph in this dataset   0.000 eV per atom

```
16
Lattice="4.989 0.000 0.000 0.000 6.761 0.000 0.000 0.000 11.690" Properties=species:S:1:pos:R:3 pbc="T T T"
Er 0.000 0.000 0.000
Er 0.000 3.380 5.845
Th 2.494 0.000 7.814
Th 2.494 3.380 1.969
Hg 0.000 0.000 5.804
Hg 0.000 1.634 2.960
Hg 0.000 1.746 8.805
Hg 0.000 3.380 11.649
Hg 0.000 5.015 8.805
Hg 0.000 5.127 2.960
Hg 2.494 0.000 1.936
Hg 2.494 1.681 10.739
Hg 2.494 1.700 4.894
Hg 2.494 3.380 7.781
Hg 2.494 5.061 4.894
Hg 2.494 5.080 10.739
```

4.
Here is crystalline In2SbIr at its relaxed geometry from the Alexandria database. Energies are from PBE.

Values from the calculation:
Total DFT energy (no corrections)   -35.08 eV for the cell shown

```
8
Lattice="9.159 0.000 0.000 0.000 3.301 0.000 -1.146 0.000 5.867" Properties=species:S:1:pos:R:3 pbc="T T T"
In 1.912 0.000 1.202
In 1.522 1.650 4.666
In 6.492 1.650 1.202
In 6.102 0.000 4.666
Sb -0.573 0.000 2.934
Sb 4.007 1.650 2.934
Ir 0.000 1.650 0.000
Ir 4.580 0.000 0.000
```

| no. | calculated volume (A^3/atom) |
| --- | --- |
| 1 | 24.26 |
| 2 | 25.58 |
| 3 | 24.64 |
| 4 | 22.17 |